Entry from Alexandria: an optimized crystal structure of La2TmTl2 (GGA-PBE).

Values from the calculation:
ΔE to the lowest computed polymorph: 0 meV per atom

a b c (Å): 8.242 8.242 4.761
angles (deg): 90.00 90.00 90.00
Sites, in units of the cell vectors:
La (0.169, 0.331, 0.000)
La (0.331, 0.831, 0.000)
La (0.669, 0.169, 0.000)
La (0.831, 0.669, 0.000)
Tm (0.000, 0.000, 0.500)
Tm (0.500, 0.500, 0.500)
Tl (0.132, 0.632, 0.500)
Tl (0.368, 0.132, 0.500)
Tl (0.632, 0.868, 0.500)
Tl (0.868, 0.368, 0.500)

Entry from Alexandria: an optimized crystal structure of CsNdBeO3 (GGA-PBE).

Values from the calculation:
Formation energy from raw total energies: -2.515 eV/atom

a b c (Å): 7.977 3.605 8.387
angles (deg): 90.00 110.28 90.00
Sites, in units of the cell vectors:
Cs (0.231, 0.250, 0.199)
Cs (0.769, 0.750, 0.801)
Nd (0.169, 0.250, 0.661)
Nd (0.831, 0.750, 0.339)
Be (0.395, 0.750, 0.942)
Be (0.605, 0.250, 0.058)
O (0.145, 0.750, 0.470)
O (0.190, 0.750, 0.860)
O (0.467, 0.250, 0.874)
O (0.533, 0.750, 0.126)
O (0.810, 0.250, 0.140)
O (0.855, 0.250, 0.530)

Entry from Alexandria: an optimized crystal structure of SrCd2Pd9 (GGA-PBE).

Values from the calculation:
Total DFT energy (no corrections): -4.448 eV per atom

a b c (Å): 9.261 9.261 9.261
angles (deg): 33.90 33.90 33.90
Sites, in units of the cell vectors:
Sr (0.000, 0.000, 0.000)
Cd (0.145, 0.145, 0.145)
Cd (0.855, 0.855, 0.855)
Pd (0.082, 0.589, 0.589)
Pd (0.334, 0.334, 0.334)
Pd (0.411, 0.411, 0.918)
Pd (0.411, 0.918, 0.411)
Pd (0.500, 0.500, 0.500)
Pd (0.589, 0.082, 0.589)
Pd (0.589, 0.589, 0.082)
Pd (0.666, 0.666, 0.666)
Pd (0.918, 0.411, 0.411)